# PBE Pr2YPa, optimized geometry
# N(E_F) in states/eV per cell: 17.9
# ΔE to the lowest computed polymorph in meV/atom: 150
# ΔE_f in kJ per mole of atoms: 31.8
data_Pr2YPa
_cell_length_a 3.4046
_cell_length_b 3.4046
_cell_length_c 37.7493
_cell_angle_alpha 90.00
_cell_angle_beta 90.00
_cell_angle_gamma 120.00
_symmetry_space_group_name_H-M 'R -3 m'
_symmetry_Int_Tables_number 166
_symmetry_space_group_name_Hall '-R 3 2"'
loop_
_atom_site_label
_atom_site_fract_x
_atom_site_fract_y
_atom_site_fract_z
_atom_site_occupancy
Pr1 0.0000 0.0000 0.0857 1
Y1 0.0000 0.0000 0.5000 1
Pa1 0.0000 0.0000 0.0000 1

---

# PBE Pr2YPa, optimized geometry
# N(E_F) in states/eV per cell: 6.4
# ΔE to the lowest computed polymorph in meV/atom: 0
# ΔE_f in kJ per mole of atoms: 17.3
data_Pr2YPa
_cell_length_a 3.4708
_cell_length_b 3.4708
_cell_length_c 10.5723
_cell_angle_alpha 90.00
_cell_angle_beta 90.00
_cell_angle_gamma 90.00
_symmetry_space_group_name_H-M 'P 4/m m m'
_symmetry_Int_Tables_number 123
_symmetry_space_group_name_Hall '-P 4 2'
loop_
_atom_site_label
_atom_site_fract_x
_atom_site_fract_y
_atom_site_fract_z
_atom_site_occupancy
Pr1 0.0000 0.0000 0.2312 1
Y1 0.5000 0.5000 0.5000 1
Pa1 0.5000 0.5000 0.0000 1

---

# PBE PrPaZn, optimized geometry
# N(E_F) in states/eV per cell: 21.2
# ΔE to the lowest computed polymorph in meV/atom: 0
# ΔE_f in kJ per mole of atoms: 14.8
data_PrPaZn
_cell_length_a 5.3282
_cell_length_b 9.2161
_cell_length_c 6.2676
_cell_angle_alpha 90.00
_cell_angle_beta 90.00
_cell_angle_gamma 90.00
_symmetry_space_group_name_H-M 'C m c m'
_symmetry_Int_Tables_number 63
_symmetry_space_group_name_Hall '-C 2c 2'
loop_
_atom_site_label
_atom_site_fract_x
_atom_site_fract_y
_atom_site_fract_z
_atom_site_occupancy
Pr1 0.0000 0.1664 0.2500 1
Pa1 0.0000 0.5000 0.0000 1
Zn1 0.0000 0.1671 0.7500 1

---

# PBE PrPaZn2, optimized geometry
# N(E_F) in states/eV per cell: 6.0
# ΔE to the lowest computed polymorph in meV/atom: 0
# ΔE_f in kJ per mole of atoms: -4.4
data_PrPaZn2
_cell_length_a 3.5299
_cell_length_b 3.5299
_cell_length_c 7.5358
_cell_angle_alpha 90.00
_cell_angle_beta 90.00
_cell_angle_gamma 90.00
_symmetry_space_group_name_H-M 'P 4/m m m'
_symmetry_Int_Tables_number 123
_symmetry_space_group_name_Hall '-P 4 2'
loop_
_atom_site_label
_atom_site_fract_x
_atom_site_fract_y
_atom_site_fract_z
_atom_site_occupancy
Pr1 0.0000 0.0000 0.0000 1
Pa1 0.0000 0.0000 0.5000 1
Zn1 0.5000 0.5000 0.2620 1

---

# PBE PrPaZn2, optimized geometry
# N(E_F) in states/eV per cell: 17.1
# ΔE to the lowest computed polymorph in meV/atom: 140
# ΔE_f in kJ per mole of atoms: 9.1
data_PrPaZn2
_cell_length_a 3.3390
_cell_length_b 3.3390
_cell_length_c 29.7466
_cell_angle_alpha 90.00
_cell_angle_beta 90.00
_cell_angle_gamma 120.00
_symmetry_space_group_name_H-M 'R -3 m'
_symmetry_Int_Tables_number 166
_symmetry_space_group_name_Hall '-R 3 2"'
loop_
_atom_site_label
_atom_site_fract_x
_atom_site_fract_y
_atom_site_fract_z
_atom_site_occupancy
Pr1 0.0000 0.0000 0.0000 1
Pa1 0.0000 0.0000 0.5000 1
Zn1 0.0000 0.0000 0.2477 1

---

# PBE PrPa2Zn, optimized geometry
# N(E_F) in states/eV per cell: 22.3
# ΔE_f in kJ per mole of atoms: 28.2
data_PrPa2Zn
_cell_length_a 3.1642
_cell_length_b 3.1642
_cell_length_c 35.1300
_cell_angle_alpha 90.00
_cell_angle_beta 90.00
_cell_angle_gamma 120.00
_symmetry_space_group_name_H-M 'R -3 m'
_symmetry_Int_Tables_number 166
_symmetry_space_group_name_Hall '-R 3 2"'
loop_
_atom_site_label
_atom_site_fract_x
_atom_site_fract_y
_atom_site_fract_z
_atom_site_occupancy
Pr1 0.0000 0.0000 0.0000 1
Pa1 0.0000 0.0000 0.0943 1
Zn1 0.0000 0.0000 0.5000 1

---

# PBE PrPaZn, optimized geometry
# N(E_F) in states/eV per cell: 5.5
# ΔE to the lowest computed polymorph in meV/atom: 121
# ΔE_f in kJ per mole of atoms: 26.5
data_PrPaZn
_cell_length_a 5.0523
_cell_length_b 5.0523
_cell_length_c 3.3679
_cell_angle_alpha 90.00
_cell_angle_beta 90.00
_cell_angle_gamma 120.00
_symmetry_space_group_name_H-M 'P 3 m 1'
_symmetry_Int_Tables_number 156
_symmetry_space_group_name_Hall 'P 3 -2"'
loop_
_atom_site_label
_atom_site_fract_x
_atom_site_fract_y
_atom_site_fract_z
_atom_site_occupancy
Pr1 0.0000 0.0000 0.0000 1
Pa1 0.3333 0.6667 0.6035 1
Zn1 0.6667 0.3333 0.2966 1

---

# PBE Pr2ZrPa, optimized geometry
# N(E_F) in states/eV per cell: 17.9
# ΔE_f in kJ per mole of atoms: 34.0
data_Pr2ZrPa
_cell_length_a 3.3340
_cell_length_b 3.3340
_cell_length_c 36.1685
_cell_angle_alpha 90.00
_cell_angle_beta 90.00
_cell_angle_gamma 120.00
_symmetry_space_group_name_H-M 'R -3 m'
_symmetry_Int_Tables_number 166
_symmetry_space_group_name_Hall '-R 3 2"'
loop_
_atom_site_label
_atom_site_fract_x
_atom_site_fract_y
_atom_site_fract_z
_atom_site_occupancy
Pr1 0.0000 0.0000 0.0895 1
Zr1 0.0000 0.0000 0.5000 1
Pa1 0.0000 0.0000 0.0000 1

---

no.,calculated total energy (eV/atom),V (Å³/cell),M_tot (Bohr magnetons per cell)
1,-6.050,378.9,0.000
2,-6.200,127.4,0.001
3,-5.029,307.8,5.749
4,-4.251,93.9,0.624
5,-4.111,287.2,0.001
6,-5.969,304.6,0.006
7,-4.908,74.5,0.674
8,-6.549,348.2,0.000